No. 1
This record from OQMD describes crystalline NaBeFeRe at its relaxed geometry. The functional is PBE-GGA.

The calculation puts the energy above the most stable polymorph in this dataset at 26 meV/atom. Its crystal system is cubic. The value obtained for the density is 9.24 Mg/m³. The calculation puts the calculated total energy at -5.68 eV per atom.

The structure belongs to space group F-43m (No. 216); the cell edges are 5.819, 5.819 and 5.819 Å and the angles 90.00°, 90.00° and 90.00°. Symmetry generates all atoms from Na at (0.000, 0.000, 0.000), Be at (0.250, 0.250, 0.750), Fe at (0.000, 0.000, 0.500) and Re at (0.250, 0.250, 0.250).



No. 2
This record from OQMD describes crystalline TbY2O4 at its relaxed geometry. The functional is PBE-GGA.

Its crystal system is cubic. The value obtained for the density is 6.06 Mg/m³. The calculation puts the calculated total energy at -8.55 eV per atom.

The structure belongs to space group Fd-3m (No. 227, origin choice 2); the cell edges are 9.578, 9.578 and 9.578 Å and the angles 90.00°, 90.00° and 90.00°. Symmetry generates all atoms from Tb at (0.125, 0.125, 0.125), Y at (0.000, 0.000, 0.500) and O at (0.008, 0.008, 0.742).



No. 3
This record from OQMD describes crystalline Gd2Tc2O5 at its relaxed geometry. The functional is PBE-GGA.

The calculation puts the energy above the most stable polymorph in this dataset at 0 meV/atom. Its crystal system is tetragonal. The value obtained for the density is 9.13 Mg/m³. The calculation puts the calculated total energy at -8.06 eV per atom.

The structure belongs to space group P4/mmm (No. 123); the cell edges are 3.981, 3.981 and 6.778 Å and the angles 90.00°, 90.00° and 90.00°. Symmetry generates all atoms from Gd at (0.000, 0.000, 0.000), Gd at (0.000, 0.000, 0.500), Tc at (0.500, 0.500, 0.173), O at (0.000, 0.500, 0.231) and O at (0.500, 0.500, 0.500).



No. 4
This record from OQMD describes crystalline TaNb2Tl at its relaxed geometry. The functional is PBE-GGA.

Its crystal system is cubic. The value obtained for the density is 12.40 Mg/m³. The calculation puts the calculated total energy at -8.24 eV per atom.

The structure belongs to space group F-43m (No. 216); the cell edges are 6.738, 6.738 and 6.738 Å and the angles 90.00°, 90.00° and 90.00°. Symmetry generates all atoms from Ta at (0.000, 0.000, 0.000), Nb at (0.000, 0.000, 0.500), Nb at (0.250, 0.250, 0.250) and Tl at (0.250, 0.250, 0.750).



One value per record, in order, for size of the total moment: 0.020; 2.442; 0.024; 0.015 μB per cell.